No. 1
First-principles (PBE) data for a relaxed structure of AlReC3, as listed in Alexandria.

CIF file:
```
data_AlReC3
_cell_length_a 3.823
_cell_length_b 3.823
_cell_length_c 3.823
_cell_angle_alpha 90.00
_cell_angle_beta 90.00
_cell_angle_gamma 90.00
_symmetry_space_group_name_H-M 'P 1'
_symmetry_Int_Tables_number 1
loop_
_symmetry_equiv_pos_as_xyz
'x,y,z'
loop_
_atom_site_label
_atom_site_type_symbol
_atom_site_fract_x
_atom_site_fract_y
_atom_site_fract_z
Al1 Al 0.000 0.000 0.000
Re1 Re 0.500 0.500 0.500
C1 C 0.000 0.000 0.500
C2 C 0.000 0.500 0.000
C3 C 0.500 0.000 0.000
```

Results
The value obtained for the energy above the most stable polymorph in this dataset is 905 meV per atom. For the density of states at the Fermi level, the calculation gives 0.506 states/eV per atom. The value obtained for the calculated formation energy is 254 kJ per mole of atoms. For the total energy, the calculation gives -30.684 eV per cell.


No. 2
First-principles (PBE) data for a relaxed structure of HfAgSN2, as listed in Alexandria.

CIF file:
```
data_HfAgSN2
_cell_length_a 4.100
_cell_length_b 4.100
_cell_length_c 5.293
_cell_angle_alpha 90.00
_cell_angle_beta 90.00
_cell_angle_gamma 90.00
_symmetry_space_group_name_H-M 'P 1'
_symmetry_Int_Tables_number 1
loop_
_symmetry_equiv_pos_as_xyz
'x,y,z'
loop_
_atom_site_label
_atom_site_type_symbol
_atom_site_fract_x
_atom_site_fract_y
_atom_site_fract_z
Hf1 Hf 0.000 0.000 0.000
Ag1 Ag 0.500 0.500 0.500
S1 S 0.000 0.000 0.500
N1 N 0.000 0.500 0.000
N2 N 0.500 0.000 0.000
```

Results
The value obtained for the energy above the most stable polymorph in this dataset is 0 meV per atom. For the density of states at the Fermi level, the calculation gives 1.299 states/eV per atom. For the total energy, the calculation gives -31.761 eV per cell.


No. 3
First-principles (PBE) data for a relaxed structure of Np2GePIr6, as listed in Alexandria.

CIF file:
```
data_Np2GePIr6
_cell_length_a 5.477
_cell_length_b 8.461
_cell_length_c 7.977
_cell_angle_alpha 90.00
_cell_angle_beta 90.00
_cell_angle_gamma 90.00
_symmetry_space_group_name_H-M 'P 1'
_symmetry_Int_Tables_number 1
loop_
_symmetry_equiv_pos_as_xyz
'x,y,z'
loop_
_atom_site_label
_atom_site_type_symbol
_atom_site_fract_x
_atom_site_fract_y
_atom_site_fract_z
Np1 Np 0.250 0.012 0.225
Np2 Np 0.250 0.488 0.225
Np3 Np 0.750 0.512 0.775
Np4 Np 0.750 0.988 0.775
Ge1 Ge 0.250 0.750 0.777
Ge2 Ge 0.750 0.250 0.223
P1 P 0.250 0.250 0.739
P2 P 0.750 0.750 0.261
Ir1 Ir 0.000 0.250 0.491
Ir2 Ir 0.000 0.750 0.509
Ir3 Ir 0.003 0.750 0.032
Ir4 Ir 0.250 0.001 0.608
Ir5 Ir 0.250 0.499 0.608
Ir6 Ir 0.497 0.750 0.032
Ir7 Ir 0.500 0.250 0.491
Ir8 Ir 0.500 0.750 0.509
Ir9 Ir 0.503 0.250 0.968
Ir10 Ir 0.750 0.501 0.392
Ir11 Ir 0.750 0.999 0.392
Ir12 Ir 0.997 0.250 0.968
```

Results
For the density of states at the Fermi level, the calculation gives 2.310 states/eV per atom. The value obtained for the calculated formation energy is -24 kJ per mole of atoms. For the total energy, the calculation gives -183.027 eV per cell.


No. 4
First-principles (PBE) data for a relaxed structure of TeOsSe2, as listed in Alexandria.

CIF file:
```
data_TeOsSe2
_cell_length_a 8.491
_cell_length_b 8.491
_cell_length_c 8.491
_cell_angle_alpha 25.44
_cell_angle_beta 25.44
_cell_angle_gamma 25.44
_symmetry_space_group_name_H-M 'P 1'
_symmetry_Int_Tables_number 1
loop_
_symmetry_equiv_pos_as_xyz
'x,y,z'
loop_
_atom_site_label
_atom_site_type_symbol
_atom_site_fract_x
_atom_site_fract_y
_atom_site_fract_z
Te1 Te 0.000 0.000 0.000
Os1 Os 0.500 0.500 0.500
Se1 Se 0.115 0.115 0.115
Se2 Se 0.885 0.885 0.885
```

Results
For the density of states at the Fermi level, the calculation gives 0.975 states/eV per atom. For the total energy, the calculation gives -20.728 eV per cell.


No. 5
First-principles (PBE) data for a relaxed structure of Ta6ReRu3, as listed in Alexandria.

CIF file:
```
data_Ta6ReRu3
_cell_length_a 7.834
_cell_length_b 4.530
_cell_length_c 9.629
_cell_angle_alpha 90.00
_cell_angle_beta 105.85
_cell_angle_gamma 90.00
_symmetry_space_group_name_H-M 'P 1'
_symmetry_Int_Tables_number 1
loop_
_symmetry_equiv_pos_as_xyz
'x,y,z'
loop_
_atom_site_label
_atom_site_type_symbol
_atom_site_fract_x
_atom_site_fract_y
_atom_site_fract_z
Ta1 Ta 0.049 0.250 0.399
Ta2 Ta 0.151 0.750 0.199
Ta3 Ta 0.253 0.250 0.001
Ta4 Ta 0.348 0.250 0.301
Ta5 Ta 0.352 0.750 0.802
Ta6 Ta 0.449 0.250 0.602
Ta7 Ta 0.551 0.750 0.398
Ta8 Ta 0.648 0.250 0.198
Ta9 Ta 0.652 0.750 0.699
Ta10 Ta 0.747 0.750 0.999
Ta11 Ta 0.849 0.250 0.801
Ta12 Ta 0.951 0.750 0.601
Re1 Re 0.451 0.750 0.100
Re2 Re 0.549 0.250 0.900
Ru1 Ru 0.052 0.750 0.900
Ru2 Ru 0.147 0.250 0.700
Ru3 Ru 0.242 0.750 0.502
Ru4 Ru 0.758 0.250 0.498
Ru5 Ru 0.853 0.750 0.300
Ru6 Ru 0.948 0.250 0.100
```

Results
For the density of states at the Fermi level, the calculation gives 0.451 states/eV per atom. The value obtained for the calculated formation energy is -33 kJ per mole of atoms. For the total energy, the calculation gives -229.535 eV per cell.


No. 6
First-principles (PBE) data for a relaxed structure of PrYRh4, as listed in Alexandria.

CIF file:
```
data_PrYRh4
_cell_length_a 5.394
_cell_length_b 5.394
_cell_length_c 5.394
_cell_angle_alpha 60.00
_cell_angle_beta 60.00
_cell_angle_gamma 60.00
_symmetry_space_group_name_H-M 'P 1'
_symmetry_Int_Tables_number 1
loop_
_symmetry_equiv_pos_as_xyz
'x,y,z'
loop_
_atom_site_label
_atom_site_type_symbol
_atom_site_fract_x
_atom_site_fract_y
_atom_site_fract_z
Pr1 Pr 0.000 0.000 0.000
Y1 Y 0.250 0.250 0.250
Rh1 Rh 0.126 0.625 0.625
Rh2 Rh 0.625 0.126 0.625
Rh3 Rh 0.625 0.625 0.126
Rh4 Rh 0.625 0.625 0.625
```

Results
For the density of states at the Fermi level, the calculation gives 0.646 states/eV per atom. The value obtained for the calculated formation energy is -65 kJ per mole of atoms. For the total energy, the calculation gives -44.683 eV per cell.


No. 7
First-principles (PBE) data for a relaxed structure of K2MgTc, as listed in Alexandria.

CIF file:
```
data_K2MgTc
_cell_length_a 5.591
_cell_length_b 5.591
_cell_length_c 5.591
_cell_angle_alpha 119.96
_cell_angle_beta 119.96
_cell_angle_gamma 90.06
_symmetry_space_group_name_H-M 'P 1'
_symmetry_Int_Tables_number 1
loop_
_symmetry_equiv_pos_as_xyz
'x,y,z'
loop_
_atom_site_label
_atom_site_type_symbol
_atom_site_fract_x
_atom_site_fract_y
_atom_site_fract_z
K1 K 0.000 0.000 0.000
K2 K 0.750 0.250 0.500
Mg1 Mg 0.250 0.750 0.500
Tc1 Tc 0.500 0.500 0.000
```

Results
For the density of states at the Fermi level, the calculation gives 1.046 states/eV per atom. The value obtained for the calculated formation energy is 107 kJ per mole of atoms. For the total energy, the calculation gives -9.736 eV per cell.


No. 8
First-principles (PBE) data for a relaxed structure of AlInBi2, as listed in Alexandria.

CIF file:
```
data_AlInBi2
_cell_length_a 7.234
_cell_length_b 7.234
_cell_length_c 7.234
_cell_angle_alpha 36.55
_cell_angle_beta 36.55
_cell_angle_gamma 36.55
_symmetry_space_group_name_H-M 'P 1'
_symmetry_Int_Tables_number 1
loop_
_symmetry_equiv_pos_as_xyz
'x,y,z'
loop_
_atom_site_label
_atom_site_type_symbol
_atom_site_fract_x
_atom_site_fract_y
_atom_site_fract_z
Al1 Al 0.000 0.000 0.000
In1 In 0.168 0.168 0.168
Bi1 Bi 0.406 0.406 0.406
Bi2 Bi 0.595 0.595 0.595
```

Results
For the density of states at the Fermi level, the calculation gives 0.473 states/eV per atom. The value obtained for the calculated formation energy is 14 kJ per mole of atoms. For the total energy, the calculation gives -13.681 eV per cell.


No. 9
First-principles (PBE) data for a relaxed structure of TlHg2F7, as listed in Alexandria.

CIF file:
```
data_TlHg2F7
_cell_length_a 6.867
_cell_length_b 6.867
_cell_length_c 8.236
_cell_angle_alpha 111.90
_cell_angle_beta 111.90
_cell_angle_gamma 59.03
_symmetry_space_group_name_H-M 'P 1'
_symmetry_Int_Tables_number 1
loop_
_symmetry_equiv_pos_as_xyz
'x,y,z'
loop_
_atom_site_label
_atom_site_type_symbol
_atom_site_fract_x
_atom_site_fract_y
_atom_site_fract_z
Tl1 Tl 0.026 0.974 0.750
Tl2 Tl 0.974 0.026 0.250
Hg1 Hg 0.284 0.306 0.637
Hg2 Hg 0.306 0.284 0.137
Hg3 Hg 0.694 0.716 0.863
Hg4 Hg 0.716 0.694 0.363
F1 F 0.034 0.784 0.461
F2 F 0.067 0.342 0.315
F3 F 0.099 0.651 0.097
F4 F 0.216 0.966 0.039
F5 F 0.342 0.067 0.815
F6 F 0.349 0.901 0.403
F7 F 0.379 0.621 0.750
F8 F 0.621 0.379 0.250
F9 F 0.651 0.099 0.597
F10 F 0.658 0.933 0.185
F11 F 0.784 0.034 0.961
F12 F 0.901 0.349 0.903
F13 F 0.933 0.658 0.685
F14 F 0.966 0.216 0.539
```

Results
The value obtained for the energy above the most stable polymorph in this dataset is 0 meV per atom. For the total energy, the calculation gives -62.827 eV per cell.


No. 10
First-principles (PBE) data for a relaxed structure of Ti4CO, as listed in Alexandria.

CIF file:
```
data_Ti4CO
_cell_length_a 5.866
_cell_length_b 5.866
_cell_length_c 5.866
_cell_angle_alpha 105.87
_cell_angle_beta 105.87
_cell_angle_gamma 116.93
_symmetry_space_group_name_H-M 'P 1'
_symmetry_Int_Tables_number 1
loop_
_symmetry_equiv_pos_as_xyz
'x,y,z'
loop_
_atom_site_label
_atom_site_type_symbol
_atom_site_fract_x
_atom_site_fract_y
_atom_site_fract_z
Ti1 Ti 0.203 0.000 0.203
Ti2 Ti 0.246 0.542 0.296
Ti3 Ti 0.246 0.950 0.704
Ti4 Ti 0.292 0.496 0.796
Ti5 Ti 0.700 0.496 0.204
Ti6 Ti 0.750 0.047 0.297
Ti7 Ti 0.750 0.453 0.703
Ti8 Ti 0.797 0.000 0.797
C1 C 0.494 0.994 0.500
C2 C 0.744 0.744 0.000
O1 O 0.003 0.503 0.500
O2 O 0.253 0.253 0.000
```

Results
The value obtained for the energy above the most stable polymorph in this dataset is 0 meV per atom. For the density of states at the Fermi level, the calculation gives 0.583 states/eV per atom. For the total energy, the calculation gives -106.539 eV per cell.


No. 11
First-principles (PBE) data for a relaxed structure of Ca2SbAs, as listed in Alexandria.

CIF file:
```
data_Ca2SbAs
_cell_length_a 5.052
_cell_length_b 5.052
_cell_length_c 4.144
_cell_angle_alpha 90.00
_cell_angle_beta 90.00
_cell_angle_gamma 90.00
_symmetry_space_group_name_H-M 'P 1'
_symmetry_Int_Tables_number 1
loop_
_symmetry_equiv_pos_as_xyz
'x,y,z'
loop_
_atom_site_label
_atom_site_type_symbol
_atom_site_fract_x
_atom_site_fract_y
_atom_site_fract_z
Ca1 Ca 0.000 0.500 0.000
Ca2 Ca 0.500 0.000 0.000
Sb1 Sb 0.000 0.000 0.500
As1 As 0.500 0.500 0.500
```

Results
For the density of states at the Fermi level, the calculation gives 0.456 states/eV per atom. For the total energy, the calculation gives -16.062 eV per cell.


No. 12
First-principles (PBE) data for a relaxed structure of TlCo3Se, as listed in Alexandria.

CIF file:
```
data_TlCo3Se
_cell_length_a 4.433
_cell_length_b 4.433
_cell_length_c 4.433
_cell_angle_alpha 90.00
_cell_angle_beta 90.00
_cell_angle_gamma 90.00
_symmetry_space_group_name_H-M 'P 1'
_symmetry_Int_Tables_number 1
loop_
_symmetry_equiv_pos_as_xyz
'x,y,z'
loop_
_atom_site_label
_atom_site_type_symbol
_atom_site_fract_x
_atom_site_fract_y
_atom_site_fract_z
Tl1 Tl 0.000 0.000 0.000
Co1 Co 0.000 0.500 0.500
Co2 Co 0.500 0.000 0.500
Co3 Co 0.500 0.500 0.000
Se1 Se 0.500 0.500 0.500
```

Results
For the density of states at the Fermi level, the calculation gives 0.669 states/eV per atom. For the total energy, the calculation gives -24.315 eV per cell.


Size of the total moment: 2.07 0.00 12.10 0.00 0.00 0.00 2.81 0.00 0.00 0.00 0.00 4.04 (Bohr magnetons per cell)